--- 1 ---
## W3Se2 (PBE)

Data for a relaxed structure of W3Se2.

It has space group P-3m1 (No. 164), with a = 4.1028 Å, b = 4.1028 Å, c = 6.1347 Å, α = 90.00°, β = 90.00° and γ = 120.00°. The asymmetric unit holds W at (0.0000, 0.0000, 0.0000), W at (0.3333, 0.6667, 0.4033) and Se at (0.3333, 0.6667, 0.8218).

=====

--- 2 ---
## W3Se2 (PBE)

Data for a relaxed structure of W3Se2.

It has space group R-3m (No. 166, hexagonal axes), with a = 3.1705 Å, b = 3.1705 Å, c = 31.1326 Å, α = 90.00°, β = 90.00° and γ = 120.00°. The asymmetric unit holds W at (0.0000, 0.0000, 0.0000), W at (0.0000, 0.0000, 0.1940) and Se at (0.0000, 0.0000, 0.3926).

=====

--- 3 ---
## W3Se2 (PBE)

Data for a relaxed structure of W3Se2.

It has space group Fdd2 (No. 43), with a = 10.646 Å, b = 12.822 Å, c = 5.362 Å, α = 90.00°, β = 90.00° and γ = 90.00°. The asymmetric unit holds W at (0.000, 0.000, 0.000), W at (0.014, 0.396, 0.116) and Se at (0.079, 0.299, 0.573).

=====

Of them, 2 has the highest stability.

=====

--- 1 ---
## YW3Se (PBE)

Data for a relaxed structure of YW3Se.

It has space group Pm-3m (No. 221), with a = 4.692 Å, b = 4.692 Å, c = 4.692 Å, α = 90.00°, β = 90.00° and γ = 90.00°. The asymmetric unit holds Y at (0.000, 0.000, 0.000), W at (0.000, 0.500, 0.500) and Se at (0.500, 0.500, 0.500).

=====

--- 2 ---
## YW3Se (PBE)

Data for a relaxed structure of YW3Se.

It has space group Pm-3m (No. 221), with a = 4.886 Å, b = 4.886 Å, c = 4.886 Å, α = 90.00°, β = 90.00° and γ = 90.00°. The asymmetric unit holds Y at (0.000, 0.000, 0.000), W at (0.000, 0.000, 0.500) and Se at (0.500, 0.500, 0.500).

=====

Of them, 1 has the highest stability.

=====

--- 1 ---
## YWSe3 (PBE)

Data for a relaxed structure of YWSe3.

It has space group Pm-3m (No. 221), with a = 4.949 Å, b = 4.949 Å, c = 4.949 Å, α = 90.00°, β = 90.00° and γ = 90.00°. The asymmetric unit holds Y at (0.000, 0.000, 0.000), W at (0.500, 0.500, 0.500) and Se at (0.000, 0.500, 0.500).

=====

--- 2 ---
## YWSe3 (PBE)

Data for a relaxed structure of YWSe3.

It has space group Pm-3m (No. 221), with a = 5.370 Å, b = 5.370 Å, c = 5.370 Å, α = 90.00°, β = 90.00° and γ = 90.00°. The asymmetric unit holds Y at (0.000, 0.000, 0.000), W at (0.500, 0.500, 0.500) and Se at (0.000, 0.000, 0.500).

=====

Of them, 1 has the highest stability.

=====

--- 1 ---
## ZnWSe (PBE)

Data for a relaxed structure of ZnWSe.

It has space group I4mm (No. 107), with a = 3.041 Å, b = 3.041 Å, c = 12.163 Å, α = 90.00°, β = 90.00° and γ = 90.00°. The asymmetric unit holds Zn at (0.000, 0.000, 0.000), W at (0.000, 0.000, 0.358) and Se at (0.000, 0.000, 0.737).

=====

--- 2 ---
## ZnWSe (PBE)

Data for a relaxed structure of ZnWSe.

It has space group Fmm2 (No. 42), with a = 3.157 Å, b = 4.909 Å, c = 14.151 Å, α = 90.00°, β = 90.00° and γ = 90.00°. The asymmetric unit holds Zn at (0.000, 0.000, 0.000), W at (0.000, 0.000, 0.348) and Se at (0.000, 0.000, 0.706).

=====

--- 3 ---
## ZnWSe (PBE)

Data for a relaxed structure of ZnWSe.

It has space group F-43m (No. 216), with a = 5.992 Å, b = 5.992 Å, c = 5.992 Å, α = 90.00°, β = 90.00° and γ = 90.00°. The asymmetric unit holds Zn at (0.000, 0.000, 0.000), W at (0.000, 0.000, 0.500) and Se at (0.250, 0.250, 0.750).

=====

Of them, 1 has the highest stability.